[1]
{
  "formula": "MgAg3Pd3",
  "functional": "GGA-PBE",
  "state": "optimized geometry",
  "lattice_angstrom": [[4.480, -4.586, 0.000], [4.480, 4.586, 0.000], [0.000, 0.000, 6.065]],
  "species": ["Mg", "Mg", "Ag", "Ag", "Ag", "Ag", "Ag", "Ag", "Pd", "Pd", "Pd", "Pd", "Pd", "Pd"],
  "fractional_positions": [[0.249, 0.751, 0.000], [0.751, 0.249, 0.000], [0.270, 0.730, 0.500], [0.273, 0.273, 0.000], [0.273, 0.273, 0.500], [0.727, 0.727, 0.000], [0.727, 0.727, 0.500], [0.730, 0.270, 0.500], [0.000, 0.000, 0.252], [0.000, 0.000, 0.748], [0.000, 0.500, 0.243], [0.000, 0.500, 0.757], [0.500, 0.000, 0.243], [0.500, 0.000, 0.757]],
  "sg": "Cmmm (65)",
  "formation_enthalpy_0k_ev_per_atom": -0.157
}

---

[2]
{
  "formula": "Pr6GaRu2I3",
  "functional": "GGA-PBE",
  "state": "optimized geometry",
  "lattice_angstrom": [[3.697, -6.410, 0.000], [3.697, 6.410, 0.000], [-2.482, 0.000, 8.159]],
  "species": ["Pr", "Pr", "Pr", "Pr", "Pr", "Pr", "Ga", "Ru", "Ru", "I", "I", "I"],
  "fractional_positions": [[0.083, 0.437, 0.811], [0.210, 0.210, 0.189], [0.437, 0.083, 0.811], [0.563, 0.917, 0.189], [0.790, 0.790, 0.811], [0.917, 0.563, 0.189], [0.500, 0.500, 0.000], [0.167, 0.833, 0.000], [0.833, 0.167, 0.000], [0.000, 0.000, 0.500], [0.336, 0.664, 0.500], [0.664, 0.336, 0.500]],
  "sg": "C2/m (12)",
  "total_energy_ev_per_atom": -5.266
}

---

[3]
{
  "formula": "AlAsIr",
  "functional": "GGA-PBE",
  "state": "optimized geometry",
  "lattice_angstrom": [[0.000, 2.965, 2.965], [2.965, 0.000, 2.965], [2.965, 2.965, 0.000]],
  "species": ["Al", "As", "Ir"],
  "fractional_positions": [[0.000, 0.000, 0.000], [0.500, 0.500, 0.500], [0.250, 0.250, 0.250]],
  "sg": "F-43m (216)",
  "formation_enthalpy_0k_ev_per_atom": -0.446
}